A plane-wave DFT calculation with PBE was carried out for crystalline NaLiTmCl5 at its relaxed geometry.

abc: 7.281 7.281 9.659
angles: 102.29 102.29 112.52
Element x y z (fractional)
1 Na 0.108 0.892 0.750
2 Na 0.892 0.108 0.250
3 Li 0.203 0.797 0.250
4 Li 0.797 0.203 0.750
5 Tm 0.500 0.500 0.000
6 Tm 0.500 0.500 0.500
7 Cl 0.103 0.251 0.939
8 Cl 0.170 0.531 0.363
9 Cl 0.251 0.103 0.439
10 Cl 0.411 0.589 0.750
11 Cl 0.469 0.830 0.137
12 Cl 0.531 0.170 0.863
13 Cl 0.589 0.411 0.250
14 Cl 0.749 0.897 0.561
15 Cl 0.830 0.469 0.637
16 Cl 0.897 0.749 0.061

The value obtained for the uncorrected formation energy is -16.3 eV/f.u. Its space-group type is No. 15. The magnetization comes out at 0.0 μB per cell.